1.
DFT (PBE-GGA) results for an optimized crystal structure of NdHo2Sc3P6.

As for the formation energy: -1.511 eV/atom.

```
data_NdHo2Sc3P6
_cell_length_a 6.775
_cell_length_b 11.733
_cell_length_c 6.747
_cell_angle_alpha 90.00
_cell_angle_beta 109.55
_cell_angle_gamma 90.00
_space_group_name_H-M_alt 'C 1 2/m 1'
_space_group_IT_number 12
_space_group_name_Hall '-C 2y'
loop_
_atom_site_label
_atom_site_fract_x
_atom_site_fract_y
_atom_site_fract_z
Nd1 0.000 0.000 0.000
Ho1 0.000 0.333 0.000
Sc1 0.000 0.165 0.500
Sc2 0.000 0.500 0.500
P1 0.241 0.330 0.732
P2 0.249 0.500 0.267
```


2.
DFT (PBE-GGA) results for an optimized crystal structure of Cs3PaSb2Te6.

As for the uncorrected formation energy: -61.8 kJ/mol of atoms.

```
data_Cs3PaSb2Te6
_cell_length_a 8.093
_cell_length_b 14.094
_cell_length_c 9.150
_cell_angle_alpha 90.00
_cell_angle_beta 107.18
_cell_angle_gamma 90.00
_space_group_name_H-M_alt 'C 1 2/m 1'
_space_group_IT_number 12
_space_group_name_Hall '-C 2y'
loop_
_atom_site_label
_atom_site_fract_x
_atom_site_fract_y
_atom_site_fract_z
Cs1 0.000 0.000 0.000
Cs2 0.000 0.331 0.000
Pa1 0.000 0.500 0.500
Sb1 0.000 0.166 0.500
Te1 0.227 0.336 0.685
Te2 0.234 0.000 0.687
```